Record 1
This record from Alexandria describes a crystal of MgZrBr2 relaxed with PBEsol. The functional is meta-GGA SCAN.

Unit cell a=9.089 b=9.089 c=9.089 alpha=22.11 beta=22.11 gamma=22.11
Sites, in units of the cell vectors:
Mg  0.000  0.000  0.000
Zr  0.500  0.500  0.500
Br  0.396  0.396  0.396
Br  0.604  0.604  0.604

symmetry: R-3m, No. 166
formation energy without anion corrections: -0.5330 eV/atom
excess energy over the best structure of this formula in the dataset: 166.0 meV per atom



Record 2
This record from Alexandria describes a crystal of CdHg2Sb relaxed with PBEsol. The functional is meta-GGA SCAN.

Unit cell a=11.394 b=11.394 c=11.394 alpha=158.66 beta=158.66 gamma=30.36
Sites, in units of the cell vectors:
Cd  0.000  0.000  0.000
Cd  0.750  0.250  0.500
Hg  0.121  0.625  0.996
Hg  0.375  0.371  0.496
Hg  0.629  0.125  0.004
Hg  0.875  0.879  0.504
Sb  0.250  0.750  0.500
Sb  0.500  0.500  0.000

symmetry: I-42d, No. 122
formation energy without anion corrections: 0.0533 eV/atom
excess energy over the best structure of this formula in the dataset: 38.9 meV per atom



Record 3
This record from Alexandria describes a crystal of YPt2Pb relaxed with PBEsol. The functional is meta-GGA SCAN.

Unit cell a=4.248 b=5.517 c=5.517 alpha=40.53 beta=90.00 gamma=90.00
Sites, in units of the cell vectors:
Y  0.000  0.000  0.000
Pt  0.000  0.722  0.722
Pt  0.500  0.554  0.554
Pb  0.500  0.286  0.286

symmetry: Amm2, No. 38
DFT formation energy: -0.862 eV per atom



Record 4
This record from Alexandria describes a crystal of TlCo2P relaxed with PBEsol. The functional is meta-GGA SCAN.

Unit cell a=5.358 b=5.358 c=5.358 alpha=105.81 beta=105.81 gamma=117.08
Sites, in units of the cell vectors:
Tl  0.000  0.000  0.000
Tl  0.750  0.250  0.500
Co  0.202  0.625  0.077
Co  0.375  0.452  0.577
Co  0.548  0.125  0.923
Co  0.875  0.798  0.423
P  0.250  0.750  0.500
P  0.500  0.500  0.000

symmetry: I-42d, No. 122
DFT formation energy: 0.342 eV per atom



Record 5
This record from Alexandria describes a crystal of ZnAg2Au relaxed with PBEsol. The functional is meta-GGA SCAN.

Unit cell a=9.162 b=9.162 c=9.162 alpha=17.99 beta=17.99 gamma=17.99
Sites, in units of the cell vectors:
Zn  0.000  0.000  0.000
Ag  0.254  0.254  0.254
Ag  0.746  0.746  0.746
Au  0.500  0.500  0.500

symmetry: R-3m, No. 166
DFT formation energy: -0.042 eV per atom



Record 6
This record from Alexandria describes a crystal of BiW2O8 relaxed with PBEsol. The functional is meta-GGA SCAN.

Unit cell a=5.037 b=5.914 c=11.057 alpha=90.00 beta=115.54 gamma=90.00
Sites, in units of the cell vectors:
Bi  0.000  0.175  0.250
Bi  0.000  0.825  0.750
W  0.221  0.326  0.984
W  0.221  0.674  0.484
W  0.779  0.326  0.516
W  0.779  0.674  0.016
O  0.158  0.411  0.610
O  0.158  0.589  0.110
O  0.225  0.141  0.117
O  0.225  0.859  0.617
O  0.254  0.118  0.873
O  0.254  0.882  0.373
O  0.344  0.397  0.408
O  0.344  0.603  0.908
O  0.656  0.397  0.092
O  0.656  0.603  0.592
O  0.746  0.118  0.627
O  0.746  0.882  0.127
O  0.775  0.141  0.383
O  0.775  0.859  0.883
O  0.842  0.411  0.890
O  0.842  0.589  0.390

symmetry: P2/c, No. 13
formation energy without anion corrections: -1.8131 eV/atom



Record 7
This record from Alexandria describes a crystal of NaLiS2N relaxed with PBEsol. The functional is meta-GGA SCAN.

Unit cell a=4.449 b=4.449 c=4.274 alpha=90.00 beta=90.00 gamma=90.00
Sites, in units of the cell vectors:
Na  0.000  0.000  0.000
Li  0.500  0.500  0.500
S  0.000  0.500  0.500
S  0.500  0.000  0.500
N  0.500  0.500  0.000

symmetry: P4/mmm, No. 123
formation energy without anion corrections: 0.4465 eV/atom



Record 8
This record from Alexandria describes a crystal of CrCoNi2 relaxed with PBEsol. The functional is meta-GGA SCAN.

Unit cell a=3.932 b=3.932 c=3.932 alpha=60.00 beta=60.00 gamma=60.00
Sites, in units of the cell vectors:
Cr  0.000  0.000  0.000
Co  0.500  0.500  0.500
Ni  0.250  0.250  0.250
Ni  0.750  0.750  0.750

symmetry: Fm-3m, No. 225
DFT formation energy: 0.113 eV per atom



Record 9
This record from Alexandria describes a crystal of Sn2Ge2Bi relaxed with PBEsol. The functional is meta-GGA SCAN.

Unit cell a=7.262 b=7.262 c=7.262 alpha=144.85 beta=144.85 gamma=50.56
Sites, in units of the cell vectors:
Sn  0.250  0.750  0.500
Sn  0.750  0.250  0.500
Ge  0.097  0.097  0.000
Ge  0.903  0.903  0.000
Bi  0.500  0.500  0.000

symmetry: I4/mmm, No. 139
DFT formation energy: 0.343 eV per atom



Record 10
This record from Alexandria describes a crystal of Li2RhAu relaxed with PBEsol. The functional is meta-GGA SCAN.

Unit cell a=2.608 b=4.252 c=5.151 alpha=90.00 beta=104.66 gamma=90.00
Sites, in units of the cell vectors:
Li  0.000  0.000  0.000
Li  0.119  0.500  0.260
Rh  0.738  0.000  0.489
Au  0.378  0.500  0.766

symmetry: Pm, No. 6
DFT formation energy: -0.280 eV per atom



Record 11
This record from Alexandria describes a crystal of Sr2YAs relaxed with PBEsol. The functional is meta-GGA SCAN.

Unit cell a=9.431 b=9.431 c=9.431 alpha=156.38 beta=154.29 gamma=35.19
Sites, in units of the cell vectors:
Sr  0.163  0.163  0.000
Sr  0.837  0.837  0.000
Y  0.500  0.000  0.500
As  0.000  0.500  0.500

symmetry: Immm, No. 71
DFT formation energy: -0.645 eV per atom



Record 12
This record from Alexandria describes a crystal of TiCNF2 relaxed with PBEsol. The functional is meta-GGA SCAN.

Unit cell a=4.475 b=4.475 c=2.464 alpha=90.00 beta=90.00 gamma=90.00
Sites, in units of the cell vectors:
Ti  0.000  0.000  0.000
C  0.500  0.500  0.500
N  0.500  0.500  0.000
F  0.000  0.500  0.500
F  0.500  0.000  0.500

symmetry: P4/mmm, No. 123
formation energy without anion corrections: -0.5486 eV/atom



Record 13
This record from Alexandria describes a crystal of Ni8P relaxed with PBEsol. The functional is meta-GGA SCAN.

Unit cell a=5.435 b=5.435 c=5.435 alpha=95.87 beta=95.87 gamma=142.68
Sites, in units of the cell vectors:
Ni  0.000  0.331  0.331
Ni  0.000  0.669  0.669
Ni  0.331  0.000  0.331
Ni  0.336  0.336  0.672
Ni  0.336  0.664  0.000
Ni  0.664  0.336  0.000
Ni  0.664  0.664  0.328
Ni  0.669  0.000  0.669
P  0.000  0.000  0.000

symmetry: I4/mmm, No. 139
DFT formation energy: -0.101 eV per atom



Record 14
This record from Alexandria describes a crystal of La5Pt relaxed with PBEsol. The functional is meta-GGA SCAN.

Unit cell a=6.404 b=6.404 c=8.558 alpha=107.14 beta=107.14 gamma=33.69
Sites, in units of the cell vectors:
La  0.000  0.000  0.000
La  0.030  0.030  0.414
La  0.283  0.283  0.151
La  0.344  0.344  0.621
La  0.649  0.649  0.769
Pt  0.706  0.706  0.363

symmetry: Cm, No. 8
DFT formation energy: -0.428 eV per atom
excess energy over the best structure of this formula in the dataset: 0.0 meV per atom



DOS at the Fermi energy (computed, states/eV/atom): 0.6549; 0.4265; 0.6026; 0.3870; 0.1910; 0.1990; 0.2994; 0.7027; 0.4918; 0.4024; 0.8331; 0.4817; 0.7637; 1.2448
Energy (computed, eV per atom): -19.18; -50.95; -61.86; -29.00; -36.39; -26.16; -6.58; -16.90; -37.38; -27.21; -23.79; -9.05; -15.63; -48.05